Entry 1:
VASP calculation (PBE) on a relaxed structure of SrIn2Pb.

Unit cell a=5.5957 b=5.5957 c=5.5957 alpha=60.00 beta=60.00 gamma=60.00
Last column: nearest neighbours and their distance in Å.
Sites, in units of the cell vectors:
Sr: 0.0000 0.0000 0.0000  4 Pb 3.43, 4 In 3.43
In: 0.5000 0.5000 0.5000  4 In 3.43, 4 Pb 3.43
In: 0.7500 0.7500 0.7500  4 In 3.43, 4 Sr 3.43
Pb: 0.2500 0.2500 0.2500  4 In 3.43, 4 Sr 3.43

## Properties
Its volume is 30.974 A^3/atom. Its space-group type is F-43m (216). The uncorrected energy comes out at -0.21676 Ry/atom.



Entry 2:
VASP calculation (PBE) on a relaxed structure of Sr3In2Pb2.

Unit cell a=6.6848 b=6.6848 c=8.6525 alpha=110.51 beta=110.51 gamma=43.74
Last column: nearest neighbours and their distance in Å.
Sites, in units of the cell vectors:
Sr: 0.0000 0.0000 0.0000  6 In 3.56-3.73, 4 Pb 3.74
Sr: 0.1703 0.1703 0.6330  3 In 3.41-3.61, 5 Pb 3.48-3.70
Sr: 0.8297 0.8297 0.3670  3 In 3.41-3.61, 5 Pb 3.48-3.70
In: 0.3130 0.3130 0.0565  2 In 2.91, 1 Pb 2.97
In: 0.6870 0.6870 0.9435  2 In 2.91, 1 Pb 2.97
Pb: 0.4581 0.4581 0.6602  1 In 2.97, 1 Pb 3.31
Pb: 0.5419 0.5419 0.3398  1 In 2.97, 1 Pb 3.31

## Properties
Its volume is 35.360 A^3/atom. Its space-group type is C2/m (12). The uncorrected energy comes out at -0.22225 Ry/atom.



Entry 3:
VASP calculation (PBE) on a relaxed structure of SrIn15Pb4.

Unit cell a=5.0629 b=5.0629 c=22.2879 alpha=90.00 beta=90.00 gamma=90.00
Last column: nearest neighbours and their distance in Å.
Sites, in units of the cell vectors:
Sr: 0.0000 0.0000 0.0000  12 In 3.43-3.58
In: 0.0000 0.5000 0.1041  2 Pb 3.26, 8 In 3.38-3.58, 2 Sr 3.43
In: 0.0000 0.5000 0.3012  8 In 3.32-3.58, 4 Pb 3.35-3.45
In: 0.0000 0.5000 0.5000  8 In 3.37-3.58, 4 Pb 3.38
In: 0.0000 0.5000 0.6988  8 In 3.32-3.58, 4 Pb 3.35-3.45
In: 0.0000 0.5000 0.8959  2 Pb 3.26, 8 In 3.38-3.58, 2 Sr 3.43
In: 0.5000 0.0000 0.1041  2 Pb 3.26, 8 In 3.38-3.58, 2 Sr 3.43
In: 0.5000 0.0000 0.3012  8 In 3.32-3.58, 4 Pb 3.35-3.45
In: 0.5000 0.0000 0.5000  8 In 3.37-3.58, 4 Pb 3.38
In: 0.5000 0.0000 0.6988  8 In 3.32-3.58, 4 Pb 3.35-3.45
In: 0.5000 0.0000 0.8959  2 Pb 3.26, 8 In 3.38-3.58, 2 Sr 3.43
In: 0.5000 0.5000 0.0000  8 In 3.43, 4 Sr 3.58
In: 0.5000 0.5000 0.2048  8 In 3.32-3.38, 4 Pb 3.59
In: 0.5000 0.5000 0.4004  8 In 3.36-3.37, 4 Pb 3.58
In: 0.5000 0.5000 0.5996  8 In 3.36-3.37, 4 Pb 3.58
In: 0.5000 0.5000 0.7952  8 In 3.32-3.38, 4 Pb 3.59
Pb: 0.0000 0.0000 0.1961  12 In 3.26-3.59
Pb: 0.0000 0.0000 0.3995  12 In 3.35-3.58
Pb: 0.0000 0.0000 0.6005  12 In 3.35-3.58
Pb: 0.0000 0.0000 0.8039  12 In 3.26-3.59

## Properties
Its volume is 28.565 A^3/atom. Its space-group type is P4/mmm (123). The uncorrected energy comes out at -0.21525 Ry/atom.



Entry 4:
VASP calculation (PBE) on a relaxed structure of SrIn2Pb.

Unit cell a=10.4302 b=10.4302 c=10.4302 alpha=21.33 beta=21.33 gamma=21.33
Last column: nearest neighbours and their distance in Å.
Sites, in units of the cell vectors:
Sr: 0.0000 0.0000 0.0000  6 In 3.48, 6 Sr 3.86
In: 0.2459 0.2459 0.2459  3 Pb 3.29, 3 Sr 3.48
In: 0.7541 0.7541 0.7541  3 Pb 3.29, 3 Sr 3.48
Pb: 0.5000 0.5000 0.5000  6 In 3.29

## Properties
Its volume is 32.875 A^3/atom. Its space-group type is R-3m (166). The uncorrected energy comes out at -0.20595 Ry/atom.



Entry 5:
VASP calculation (PBE) on a relaxed structure of Sr5InPb4.

Unit cell a=3.9847 b=3.9847 c=21.8510 alpha=90.00 beta=90.00 gamma=90.00
Last column: nearest neighbours and their distance in Å.
Sites, in units of the cell vectors:
Sr: 0.0000 0.0000 0.0000  8 Pb 3.60, 4 Sr 3.98
Sr: 0.0000 0.0000 0.2044  8 Pb 3.59-3.61, 4 Sr 3.98
Sr: 0.0000 0.0000 0.4055  4 In 3.49, 4 Pb 3.54
Sr: 0.0000 0.0000 0.5945  4 In 3.49, 4 Pb 3.54
Sr: 0.0000 0.0000 0.7956  8 Pb 3.59-3.61, 4 Sr 3.98
In: 0.5000 0.5000 0.5000  8 Sr 3.49
Pb: 0.5000 0.5000 0.1028  8 Sr 3.59-3.60, 4 Pb 3.98
Pb: 0.5000 0.5000 0.3075  8 Sr 3.54-3.61
Pb: 0.5000 0.5000 0.6925  8 Sr 3.54-3.61
Pb: 0.5000 0.5000 0.8972  8 Sr 3.59-3.60, 4 Pb 3.98

## Properties
Its volume is 34.694 A^3/atom. Its space-group type is P4/mmm (123). The uncorrected energy comes out at -0.22834 Ry/atom.



Entry 6:
VASP calculation (PBE) on a relaxed structure of SrIn2Pb2.

Unit cell a=6.2022 b=6.2022 c=7.9298 alpha=128.39 beta=128.39 gamma=43.19
Last column: nearest neighbours and their distance in Å.
Sites, in units of the cell vectors:
Sr: 0.0000 0.0000 0.0000  6 Pb 3.50-3.73, 6 In 3.58-3.60
In: 0.1840 0.1840 0.7741  5 Pb 3.26-3.60, 3 In 3.50-3.62, 3 Sr 3.58-3.60
In: 0.8160 0.8160 0.2259  5 Pb 3.26-3.60, 3 In 3.50-3.62, 3 Sr 3.58-3.60
Pb: 0.3925 0.3925 0.5821  5 In 3.26-3.60, 3 Pb 3.46-3.49, 2 Sr 3.50
Pb: 0.6075 0.6075 0.4179  5 In 3.26-3.60, 3 Pb 3.46-3.49, 2 Sr 3.50

## Properties
Its volume is 31.077 A^3/atom. Its space-group type is C2/m (12). The uncorrected energy comes out at -0.23071 Ry/atom.



How do the records compare in D(E_F)? In the order shown, they have 2.0; 3.4; 5.9; 1.4; 4.2; 2.3 states/eV/cell.
How do the records compare in energy of formation? In the order shown, they have -0.23; -0.46; -0.05; -0.09; -0.51; -0.22 eV per atom.